No. 1
DFT (PBE-GGA) results for an optimized crystal structure of Na3La2HfTe6.

abc: 7.7274 7.7274 8.0130
angles: 99.35 99.35 120.05
With the nearest neighbours (Å) after each atom.
Element x y z (fractional)
Na  0.0000  0.0000  0.0000  6 Te 3.19-3.45
Na  0.3261  0.6739  0.0000  6 Te 3.20-3.35
Na  0.6739  0.3261  0.0000  6 Te 3.20-3.35
La  0.1658  0.8342  0.5000  6 Te 3.22-3.23
La  0.8342  0.1658  0.5000  6 Te 3.22-3.23
Hf  0.5000  0.5000  0.5000  6 Te 2.96-2.97
Te  0.1143  0.4215  0.2645  1 Hf 2.97, 2 Na 3.19-3.20, 2 La 3.23
Te  0.2736  0.2736  0.7349  1 Hf 2.96, 2 La 3.22, 2 Na 3.25
Te  0.4215  0.1143  0.2645  1 Hf 2.97, 2 Na 3.19-3.20, 2 La 3.23
Te  0.5785  0.8857  0.7355  1 Hf 2.97, 2 Na 3.19-3.20, 2 La 3.23
Te  0.7264  0.7264  0.2651  1 Hf 2.96, 2 La 3.22, 2 Na 3.25
Te  0.8857  0.5785  0.7355  1 Hf 2.97, 2 Na 3.19-3.20, 2 La 3.23

***

No. 2
DFT (PBE-GGA) results for an optimized crystal structure of La2HfNb.

As for the energy above the most stable polymorph in this dataset: 1.24 eV per formula unit.

abc: 8.5080 8.5080 6.0917
angles: 90.00 90.00 90.00
With the nearest neighbours (Å) after each atom.
Element x y z (fractional)
La  0.2267  0.2500  0.1250  2 Nb 2.97, 2 La 3.07, 2 Hf 3.24
La  0.2500  0.7267  0.3750  2 Nb 2.97, 2 La 3.07, 2 Hf 3.24
La  0.2500  0.7733  0.8750  2 Nb 2.97, 2 La 3.07, 2 Hf 3.24
La  0.2733  0.2500  0.6250  2 Nb 2.97, 2 La 3.07, 2 Hf 3.24
La  0.7267  0.7500  0.6250  2 Nb 2.97, 2 La 3.07, 2 Hf 3.24
La  0.7500  0.2267  0.8750  2 Nb 2.97, 2 La 3.07, 2 Hf 3.24
La  0.7500  0.2733  0.3750  2 Nb 2.97, 2 La 3.07, 2 Hf 3.24
La  0.7733  0.7500  0.1250  2 Nb 2.97, 2 La 3.07, 2 Hf 3.24
Hf  0.0000  0.0000  0.5000  2 Nb 3.05, 4 La 3.24
Hf  0.0000  0.5000  0.7500  2 Nb 3.05, 4 La 3.24
Hf  0.5000  0.0000  0.2500  2 Nb 3.05, 4 La 3.24
Hf  0.5000  0.5000  0.0000  2 Nb 3.05, 4 La 3.24
Nb  0.0000  0.0000  0.0000  4 La 2.97, 2 Hf 3.05
Nb  0.0000  0.5000  0.2500  4 La 2.97, 2 Hf 3.05
Nb  0.5000  0.0000  0.7500  4 La 2.97, 2 Hf 3.05
Nb  0.5000  0.5000  0.5000  4 La 2.97, 2 Hf 3.05

***

No. 3
DFT (PBE-GGA) results for an optimized crystal structure of La3HfNb.

As for the energy above the most stable polymorph in this dataset: 0.00 eV per formula unit.

abc: 5.5318 5.5318 5.5318
angles: 90.00 90.00 90.00
With the nearest neighbours (Å) after each atom.
Element x y z (fractional)
La  0.0000  0.0000  0.5000  2 Nb 2.77
La  0.0000  0.5000  0.0000  2 Nb 2.77
La  0.5000  0.0000  0.0000  2 Nb 2.77
Hf  0.5000  0.5000  0.5000  12 La 3.91
Nb  0.0000  0.0000  0.0000  6 La 2.77

***

No. 4
DFT (PBE-GGA) results for an optimized crystal structure of La3HfNb.

As for the energy above the most stable polymorph in this dataset: 2.56 eV per formula unit.

abc: 5.6160 5.6160 5.6160
angles: 90.00 90.00 90.00
With the nearest neighbours (Å) after each atom.
Element x y z (fractional)
La  0.0000  0.0000  0.5000  2 Hf 2.81
La  0.0000  0.5000  0.0000  2 Hf 2.81
La  0.5000  0.0000  0.0000  2 Hf 2.81
Hf  0.0000  0.0000  0.0000  6 La 2.81
Nb  0.5000  0.5000  0.5000  12 La 3.97

***

| no. | calculated total energy (eV per atom) | spin magnetization (μB/cell) |
| --- | --- | --- |
| 1 | -4.731 | 0.00 |
| 2 | -6.656 | 3.43 |
| 3 | -6.171 | 0.00 |
| 4 | -5.660 | 0.00 |